# OsPtW2 GGA-PBE optimized geometry
# ΔE_f   0.27 eV/atom
# V   15.69 A^3/atom
# ΔE to the lowest computed polymorph   0.4097 eV per atom
# Total magnetization   0.0 μB per cell
# Energy   -10.53 eV/atom
data_OsPtW2
_cell_length_a 6.3081
_cell_length_b 6.3081
_cell_length_c 6.3081
_cell_angle_alpha 90.00
_cell_angle_beta 90.00
_cell_angle_gamma 90.00
_symmetry_space_group_name_H-M 'F -4 3 m'
_symmetry_Int_Tables_number 216
_symmetry_space_group_name_Hall 'F -4 2 3'
loop_
_atom_site_label
_atom_site_fract_x
_atom_site_fract_y
_atom_site_fract_z
Os1 0.0000 0.0000 0.0000
Pt1 0.2500 0.2500 0.7500
W1 0.0000 0.0000 0.5000
W2 0.2500 0.2500 0.2500